{"formula": "CsNa2GeAu", "functional": "GGA-PBE", "state": "optimized geometry", "cell": [[5.785, 0.000, 0.000], [0.000, 5.785, 0.000], [0.000, 0.000, 5.018]], "species": ["Ge", "Au", "Na", "Na", "Cs"], "fractional_positions": [[0.000, 0.000, 0.000], [0.000, 0.000, 0.500], [0.500, 0.000, 0.000], [0.000, 0.500, 0.000], [0.500, 0.500, 0.500]], "ef_ev_per_atom": -0.1121, "spacegroup": "P4/mmm, No. 123"}